Below is a relaxed In2SnHgI4 crystal, with properties calculated at the GGA-PBE level.

The structure in POSCAR format:
```
In2SnHgI4
1.0
4.693 0.000 0.000
2.346 7.290 0.752
2.346 2.246 9.561
I Hg In Sn
4 1 2 1
Direct
0.842 0.990 0.325
0.625 0.684 0.067
0.375 0.316 0.933
0.158 0.010 0.675
0.500 0.500 0.500
0.188 0.322 0.301
0.812 0.678 0.699
0.000 0.000 0.000
```

Values from the calculation:
Space-group type: C2/m
Density of states at the Fermi level in states/eV/f.u.: 0.0
Raw formation energy in eV per formula unit: -3.27
M_tot in μB/atom: 0.0000
Volume in A^3/atom: 39.9